Here is a relaxed TiCoIO6 crystal from Alexandria. Energies are from PBE+U.

* crystal system: trigonal
* E: -110.80 eV per cell
* size of the total moment: 2.4 μB/f.u.

Unit cell a=5.199 b=5.199 c=9.032 alpha=90.00 beta=90.00 gamma=120.00
Site moments in Bohr magnetons follow the coordinates.
Sites, in units of the cell vectors:
O1 0.651 0.648 0.632  -0.03
O2 0.352 0.349 0.868  -0.03
O3 0.997 0.648 0.868  -0.03
O4 0.349 0.352 0.368  -0.03
O5 0.352 0.003 0.632  -0.03
O6 0.003 0.651 0.368  -0.03
O7 0.997 0.349 0.632  -0.03
O8 0.349 0.997 0.132  -0.03
O9 0.651 0.003 0.868  -0.03
O10 0.648 0.651 0.132  -0.03
O11 0.003 0.352 0.132  -0.03
O12 0.648 0.997 0.368  -0.03
I1 0.667 0.333 0.250  -0.06
I2 0.333 0.667 0.750  -0.06
Co1 0.000 0.000 0.000  2.73
Co2 0.000 0.000 0.500  2.73
Ti1 0.333 0.667 0.250  -0.04
Ti2 0.667 0.333 0.750  -0.04